# 1
Density functional theory data (PBE) for an optimized crystal structure of YTc2Ir2.

Output
N(E_F)   6.59 states/eV/f.u.
Total magnetic moment   0.0 μB per cell
Formation enthalpy at 0 K   -0.882 eV/f.u.
Theoretical density   12.09 g/cm³

a = 4.029 Å, b = 4.029 Å, c = 6.338 Å
α = 71.47°, β = 71.47°, γ = 90.00°
Element x y z (fractional)
Ir 0.608 0.608 0.784
Tc 0.750 0.250 0.500
Y 0.000 0.000 0.000
Tc 0.250 0.750 0.500
Ir 0.392 0.392 0.216

# 2
Density functional theory data (PBE) for an optimized crystal structure of YTc2Ir.

Output
N(E_F)   4.66 states/eV/f.u.
Total magnetic moment   0.0 μB per cell
Formation enthalpy at 0 K   0.561 eV/f.u.
Theoretical density   11.45 g/cm³

a = 4.617 Å, b = 3.870 Å, c = 3.870 Å
α = 90.00°, β = 90.00°, γ = 90.00°
Element x y z (fractional)
Ir 0.500 0.000 0.500
Y 0.500 0.500 0.000
Tc 0.000 0.000 0.000
Tc 0.000 0.500 0.500

# 3
Density functional theory data (PBE) for an optimized crystal structure of Y8TcIr2.

Output
N(E_F)   9.96 states/eV/f.u.
Total magnetic moment   0.0 μB per cell
Formation enthalpy at 0 K   -3.421 eV/f.u.
Theoretical density   6.76 g/cm³

a = 5.791 Å, b = 7.587 Å, c = 7.587 Å
α = 112.44°, β = 99.86°, γ = 99.86°
Element x y z (fractional)
Y 0.992 0.782 0.217
Ir 0.497 0.694 0.319
Y 0.390 0.930 0.675
Y 0.581 0.076 0.330
Y 0.807 0.645 0.645
Tc 0.090 0.004 0.004
Y 0.181 0.363 0.363
Y 0.581 0.330 0.076
Ir 0.497 0.319 0.694
Y 0.992 0.217 0.782
Y 0.390 0.675 0.930

# 4
Density functional theory data (PBE) for an optimized crystal structure of YTcIr3.

Output
N(E_F)   5.00 states/eV/f.u.
Total magnetic moment   0.0 μB per cell
Formation enthalpy at 0 K   3.363 eV/f.u.
Theoretical density   11.94 g/cm³

a = 4.736 Å, b = 4.736 Å, c = 4.736 Å
α = 90.00°, β = 90.00°, γ = 90.00°
Element x y z (fractional)
Ir 0.000 0.000 0.500
Tc 0.000 0.000 0.000
Ir 0.000 0.500 0.000
Ir 0.500 0.000 0.000
Y 0.500 0.500 0.500